1.
## CrReRh2 (meta-GGA SCAN)

Data for a crystal of CrReRh2 relaxed with PBEsol.

```
data_CrReRh2
_cell_length_a 2.662
_cell_length_b 4.241
_cell_length_c 4.667
_cell_angle_alpha 90.00
_cell_angle_beta 90.00
_cell_angle_gamma 90.00
_space_group_name_H-M_alt 'P m m 2'
_space_group_IT_number 25
loop_
_space_group_symop_operation_xyz
'x,y,z'
'-x,-y,z'
'-x,y,z'
'x,-y,z'
loop_
_atom_site_label
_atom_site_fract_x
_atom_site_fract_y
_atom_site_fract_z
Cr1 0.000 0.000 0.000
Re1 0.000 0.500 0.675
Rh1 0.500 0.000 0.505
Rh2 0.500 0.500 0.161
```

formation energy	-0.1498	eV/atom
DOS(E_F)	2.28	states/eV/cell
E	-157.6	eV/cell

=====

2.
## CsZr3Rh (meta-GGA SCAN)

Data for a crystal of CsZr3Rh relaxed with PBEsol.

```
data_CsZr3Rh
_cell_length_a 5.082
_cell_length_b 5.082
_cell_length_c 5.082
_cell_angle_alpha 90.00
_cell_angle_beta 90.00
_cell_angle_gamma 90.00
_space_group_name_H-M_alt 'P m -3 m'
_space_group_IT_number 221
_space_group_name_Hall '-P 4 2 3'
loop_
_atom_site_label
_atom_site_fract_x
_atom_site_fract_y
_atom_site_fract_z
Cs1 0.000 0.000 0.000
Zr1 0.000 0.000 0.500
Rh1 0.500 0.500 0.500
```

formation energy	2.2948	eV/atom
DOS(E_F)	7.64	states/eV/cell
E	-152.2	eV/cell

=====

3.
## Fe2ReNi (meta-GGA SCAN)

Data for a crystal of Fe2ReNi relaxed with PBEsol.

```
data_Fe2ReNi
_cell_length_a 8.364
_cell_length_b 2.564
_cell_length_c 4.394
_cell_angle_alpha 90.00
_cell_angle_beta 99.75
_cell_angle_gamma 90.00
_space_group_name_H-M_alt 'C 1 2/m 1'
_space_group_IT_number 12
loop_
_space_group_symop_operation_xyz
'x,y,z'
'-x,-y,-z'
'-x,y,-z'
'x,-y,z'
'x+1/2,y+1/2,z'
'-x+1/2,-y+1/2,-z'
'-x+1/2,y+1/2,-z'
'x+1/2,-y+1/2,z'
loop_
_atom_site_label
_atom_site_fract_x
_atom_site_fract_y
_atom_site_fract_z
Fe1 0.247 0.000 0.243
Re1 0.000 0.000 0.500
Ni1 0.000 0.500 0.000
```

formation energy	0.0824	eV/atom
DOS(E_F)	6.23	states/eV/cell
E	-246.4	eV/cell

=====

4.
## AlOs2Pt (meta-GGA SCAN)

Data for a crystal of AlOs2Pt relaxed with PBEsol.

```
data_AlOs2Pt
_cell_length_a 2.7578
_cell_length_b 2.7578
_cell_length_c 25.7748
_cell_angle_alpha 90.00
_cell_angle_beta 90.00
_cell_angle_gamma 120.00
_space_group_name_H-M_alt 'R 3 m'
_space_group_IT_number 160
_space_group_name_Hall 'R 3 -2"'
loop_
_atom_site_label
_atom_site_fract_x
_atom_site_fract_y
_atom_site_fract_z
Al1 0.0000 0.0000 0.0000
Os1 0.0000 0.0000 0.2510
Os2 0.0000 0.0000 0.5033
Pt1 0.0000 0.0000 0.7465
```

formation energy	-0.2435	eV/atom
DOS(E_F)	9.90	states/eV/cell
E	-668.0	eV/cell

=====

5.
## VMoW (meta-GGA SCAN)

Data for a crystal of VMoW relaxed with PBEsol.

```
data_VMoW
_cell_length_a 3.078
_cell_length_b 3.078
_cell_length_c 9.220
_cell_angle_alpha 90.00
_cell_angle_beta 90.00
_cell_angle_gamma 90.00
_space_group_name_H-M_alt 'I 4 m m'
_space_group_IT_number 107
_space_group_name_Hall 'I 4 -2'
loop_
_atom_site_label
_atom_site_fract_x
_atom_site_fract_y
_atom_site_fract_z
V1 0.000 0.000 0.000
Mo1 0.000 0.000 0.336
W1 0.000 0.000 0.666
```

formation energy	-0.1326	eV/atom
DOS(E_F)	2.18	states/eV/cell
E	-244.9	eV/cell

=====

6.
## SmCoGe (meta-GGA SCAN)

Data for a crystal of SmCoGe relaxed with PBEsol.

```
data_SmCoGe
_cell_length_a 7.141
_cell_length_b 4.293
_cell_length_c 6.743
_cell_angle_alpha 90.00
_cell_angle_beta 90.00
_cell_angle_gamma 90.00
_space_group_name_H-M_alt 'P n m a'
_space_group_IT_number 62
loop_
_space_group_symop_operation_xyz
'x,y,z'
'-x,-y,-z'
'-x+1/2,-y,z+1/2'
'x+1/2,y,-z+1/2'
'x+1/2,-y+1/2,-z+1/2'
'-x+1/2,y+1/2,z+1/2'
'-x,y+1/2,-z'
'x,-y+1/2,z'
loop_
_atom_site_label
_atom_site_fract_x
_atom_site_fract_y
_atom_site_fract_z
Sm1 0.025 0.250 0.181
Co1 0.139 0.750 0.432
Ge1 0.193 0.250 0.611
```

formation energy	-0.6000	eV/atom
DOS(E_F)	4.07	states/eV/cell
E	-330.5	eV/cell

=====

7.
## B2Ir2Pt (meta-GGA SCAN)

Data for a crystal of B2Ir2Pt relaxed with PBEsol.

```
data_B2Ir2Pt
_cell_length_a 2.827
_cell_length_b 2.827
_cell_length_c 14.371
_cell_angle_alpha 90.00
_cell_angle_beta 90.00
_cell_angle_gamma 90.00
_space_group_name_H-M_alt 'I 4/m m m'
_space_group_IT_number 139
_space_group_name_Hall '-I 4 2'
loop_
_atom_site_label
_atom_site_fract_x
_atom_site_fract_y
_atom_site_fract_z
B1 0.000 0.500 0.250
Ir1 0.000 0.000 0.140
Pt1 0.000 0.000 0.500
```

formation energy	-0.2227	eV/atom
DOS(E_F)	3.92	states/eV/cell
E	-456.7	eV/cell

=====

8.
## Zn2RuBr (meta-GGA SCAN)

Data for a crystal of Zn2RuBr relaxed with PBEsol.

```
data_Zn2RuBr
_cell_length_a 3.755
_cell_length_b 3.755
_cell_length_c 8.590
_cell_angle_alpha 90.00
_cell_angle_beta 90.00
_cell_angle_gamma 90.00
_space_group_name_H-M_alt 'I 4/m m m'
_space_group_IT_number 139
_space_group_name_Hall '-I 4 2'
loop_
_atom_site_label
_atom_site_fract_x
_atom_site_fract_y
_atom_site_fract_z
Zn1 0.000 0.500 0.250
Ru1 0.000 0.000 0.000
Br1 0.000 0.000 0.500
```

formation energy (no corrections)	2.2	eV per formula unit
DOS(E_F)	3.84	states/eV/cell
E	-158.3	eV/cell

=====

9.
## LiYMo2 (meta-GGA SCAN)

Data for a crystal of LiYMo2 relaxed with PBEsol.

```
data_LiYMo2
_cell_length_a 6.484
_cell_length_b 6.484
_cell_length_c 6.484
_cell_angle_alpha 90.00
_cell_angle_beta 90.00
_cell_angle_gamma 90.00
_space_group_name_H-M_alt 'F -4 3 m'
_space_group_IT_number 216
_space_group_name_Hall 'F -4 2 3'
loop_
_atom_site_label
_atom_site_fract_x
_atom_site_fract_y
_atom_site_fract_z
Li1 0.000 0.000 0.000
Y1 0.250 0.250 0.250
Mo1 0.000 0.000 0.500
Mo2 0.250 0.250 0.750
```

formation energy	0.3807	eV/atom
DOS(E_F)	11.46	states/eV/cell
E	-393.9	eV/cell

=====

10.
## MgTlIn2 (meta-GGA SCAN)

Data for a crystal of MgTlIn2 relaxed with PBEsol.

```
data_MgTlIn2
_cell_length_a 3.318
_cell_length_b 3.318
_cell_length_c 9.040
_cell_angle_alpha 90.00
_cell_angle_beta 90.00
_cell_angle_gamma 90.00
_space_group_name_H-M_alt 'P 4/m m m'
_space_group_IT_number 123
_space_group_name_Hall '-P 4 2'
loop_
_atom_site_label
_atom_site_fract_x
_atom_site_fract_y
_atom_site_fract_z
Mg1 0.000 0.000 0.000
Tl1 0.000 0.000 0.500
In1 0.500 0.500 0.230
```

formation energy	-0.0564	eV/atom
DOS(E_F)	1.65	states/eV/cell
E	-144.3	eV/cell

=====

11.
## MnZn2TcCl (meta-GGA SCAN)

Data for a crystal of MnZn2TcCl relaxed with PBEsol.

```
data_MnZn2TcCl
_cell_length_a 4.719
_cell_length_b 4.719
_cell_length_c 4.179
_cell_angle_alpha 90.00
_cell_angle_beta 90.00
_cell_angle_gamma 90.00
_space_group_name_H-M_alt 'P 4/m m m'
_space_group_IT_number 123
_space_group_name_Hall '-P 4 2'
loop_
_atom_site_label
_atom_site_fract_x
_atom_site_fract_y
_atom_site_fract_z
Mn1 0.000 0.000 0.000
Zn1 0.000 0.500 0.000
Tc1 0.000 0.000 0.500
Cl1 0.500 0.500 0.500
```

formation energy (no corrections)	3.6	eV per formula unit
DOS(E_F)	1.55	states/eV/cell
E	-84.8	eV/cell

=====

12.
## CoTc8 (meta-GGA SCAN)

Data for a crystal of CoTc8 relaxed with PBEsol.

```
data_CoTc8
_cell_length_a 8.035
_cell_length_b 8.035
_cell_length_c 3.782
_cell_angle_alpha 90.00
_cell_angle_beta 90.00
_cell_angle_gamma 90.00
_space_group_name_H-M_alt 'I 4/m m m'
_space_group_IT_number 139
_space_group_name_Hall '-I 4 2'
loop_
_atom_site_label
_atom_site_fract_x
_atom_site_fract_y
_atom_site_fract_z
Co1 0.000 0.000 0.000
Tc1 0.000 0.326 0.000
Tc2 0.161 0.161 0.500
```

formation energy	0.0950	eV/atom
DOS(E_F)	20.01	states/eV/cell
E	-593.9	eV/cell

=====

Repeat the sixth record exactly.
## SmCoGe (meta-GGA SCAN)

Data for a crystal of SmCoGe relaxed with PBEsol.

```
data_SmCoGe
_cell_length_a 7.141
_cell_length_b 4.293
_cell_length_c 6.743
_cell_angle_alpha 90.00
_cell_angle_beta 90.00
_cell_angle_gamma 90.00
_space_group_name_H-M_alt 'P n m a'
_space_group_IT_number 62
loop_
_space_group_symop_operation_xyz
'x,y,z'
'-x,-y,-z'
'-x+1/2,-y,z+1/2'
'x+1/2,y,-z+1/2'
'x+1/2,-y+1/2,-z+1/2'
'-x+1/2,y+1/2,z+1/2'
'-x,y+1/2,-z'
'x,-y+1/2,z'
loop_
_atom_site_label
_atom_site_fract_x
_atom_site_fract_y
_atom_site_fract_z
Sm1 0.025 0.250 0.181
Co1 0.139 0.750 0.432
Ge1 0.193 0.250 0.611
```

formation energy	-0.6000	eV/atom
DOS(E_F)	4.07	states/eV/cell
E	-330.5	eV/cell

=====

Q: Look up the E of the eleventh one.
A: -84.8 eV/cell